No. 1
Zn2AgIr | Alexandria | PBE | relaxed; magnetization = 0.0 μB per formula unit; V = 15.12 Å³ per atom; energy of formation from the pure elements = 23 meV per atom; DOS at the Fermi energy = 2.2 states/eV/f.u.; space-group type = No. 119
1.0
4.9447 -0.0118 0.0000
2.0012 4.5216 0.0000
-3.4729 -2.2549 2.7026
Ag Zn Ir
1 2 1
Direct
0.5000 0.5000 0.0000
0.0000 0.0000 0.0000
0.2500 0.7500 0.5000
0.7500 0.2500 0.5000

No. 2
ZrSc4Cu | Alexandria | PBE | relaxed; magnetization = 0.6 μB per formula unit; V = 22.78 Å³ per atom; energy of formation from the pure elements = 457 meV per atom; DOS at the Fermi energy = 8.4 states/eV/f.u.; space-group type = No. 216
1.0
-4.5953 -3.2928 -1.2128
-4.3609 2.1596 -3.1224
-0.8818 -1.8551 -5.4048
Sc Zr Cu
4 1 1
Direct
0.3760 0.3760 0.8721
0.3760 0.3760 0.3760
0.8721 0.3760 0.3760
0.3760 0.8721 0.3760
0.7500 0.7500 0.7500
0.0000 0.0000 0.0000

No. 3
TmSnRu2 | Alexandria | PBE | relaxed; magnetization = 0.0 μB per formula unit; V = 17.64 Å³ per atom; energy of formation from the pure elements = -413 meV per atom; DOS at the Fermi energy = 4.8 states/eV/f.u.; space-group type = No. 225
1.0
-3.8097 -2.0760 -1.6406
-2.0906 -3.3114 2.4866
-4.1204 0.8260 1.9646
Tm Ru Sn
1 2 1
Direct
0.7500 0.7500 0.7500
0.0000 0.0000 0.0000
0.5000 0.5000 0.5000
0.2500 0.2500 0.2500

No. 4
TaAlTeN2 | Alexandria | PBE | relaxed; magnetization = 0.0 μB per formula unit; V = 15.94 Å³ per atom; DOS at the Fermi energy = 3.2 states/eV/f.u.; DFT total energy = -5.994 eV per atom; space-group type = No. 123
1.0
3.8469 0.0000 0.0000
0.0000 3.8469 0.0000
0.0000 0.0000 5.3870
Al N Te Ta
1 2 1 1
Direct
0.0000 0.0000 0.0000
0.0000 0.5000 0.0000
0.5000 0.0000 0.0000
0.0000 0.0000 0.5000
0.5000 0.5000 0.5000